Entry from Alexandria via LeMat-Bulk: a relaxed LaZr2ReC4 crystal (PBE).

Lattice parameters (Å, degrees): 3.4002 6.2307 11.6864 90.00 90.00 105.83
Closest atoms and distances in Å follow each position.
Sites, in units of the cell vectors:
C (0.2608, 0.5215, 0.1160)  1 Re 1.92
C (0.0000, 0.0000, 0.5000)  4 Zr 2.35
C (0.4231, 0.8461, 0.7500)  2 Re 2.02
C (0.5769, 0.1539, 0.2500)  2 Re 2.02
C (0.2608, 0.5215, 0.3840)  1 Re 1.92
C (0.0000, 0.0000, 0.0000)  4 Zr 2.35
C (0.7392, 0.4785, 0.8840)  1 Re 1.92
C (0.7392, 0.4785, 0.6160)  1 Re 1.92
La (0.9055, 0.8111, 0.2500)  6 C 2.67-2.89
La (0.0945, 0.1889, 0.7500)  6 C 2.67-2.89
Zr (0.6293, 0.2587, 0.4605)  5 C 2.24-2.48
Zr (0.6293, 0.2587, 0.0395)  5 C 2.24-2.48
Zr (0.3707, 0.7413, 0.9605)  5 C 2.24-2.48
Zr (0.3707, 0.7413, 0.5395)  5 C 2.24-2.48
Re (0.8318, 0.6635, 0.7500)  4 C 1.92-2.02
Re (0.1683, 0.3365, 0.2500)  4 C 1.92-2.02

Output
For the density, the calculation gives 7.75 Mg/m³. Its total energy is -9.2386 eV per atom. The value obtained for the formation energy is -0.318 eV/atom.